VASP calculation (PBE) on a geometry-optimized BaPuIn2O8 structure.

## Properties
V = 187 Å³ per cell
DFT total energy = -6.959 eV per atom
ρ = 6.55 Mg/m³
E_form (uncorrected) = -2133 kJ/mol of formula units

a b c (Å): 5.090 7.230 5.094
angles (deg): 90.00 90.86 90.00
Fractional coordinates of all 12 atoms:
Ba  0.000  0.000  0.000
Pu  0.000  0.500  0.000
In  0.500  0.267  0.500
In  0.500  0.733  0.500
O  0.180  0.306  0.203
O  0.180  0.694  0.203
O  0.308  0.500  0.711
O  0.386  0.000  0.686
O  0.614  0.000  0.314
O  0.692  0.500  0.289
O  0.820  0.306  0.797
O  0.820  0.694  0.797

=====

VASP calculation (PBE) on a geometry-optimized Ba4Pu3InO12 structure.

## Properties
V = 333 Å³ per cell
DFT total energy = -8.411 eV per atom
ρ = 7.92 Mg/m³
E_form (uncorrected) = -5336 kJ/mol of formula units

a b c (Å): 7.562 7.562 7.562
angles (deg): 109.47 109.47 109.47
Fractional coordinates of all 20 atoms:
Ba  0.000  0.000  0.500
Ba  0.000  0.500  0.000
Ba  0.500  0.000  0.000
Ba  0.500  0.500  0.500
Pu  0.000  0.500  0.500
Pu  0.500  0.000  0.500
Pu  0.500  0.500  0.000
In  0.000  0.000  0.000
O  0.000  0.253  0.253
O  0.000  0.747  0.747
O  0.250  0.500  0.750
O  0.250  0.750  0.500
O  0.253  0.000  0.253
O  0.253  0.253  0.000
O  0.500  0.250  0.750
O  0.500  0.750  0.250
O  0.747  0.000  0.747
O  0.747  0.747  0.000
O  0.750  0.250  0.500
O  0.750  0.500  0.250

=====

VASP calculation (PBE) on a geometry-optimized BaPuInO6 structure.

## Properties
V = 317 Å³ per cell
DFT total energy = -7.660 eV per atom
ρ = 6.20 Mg/m³
E_form (uncorrected) = -1949 kJ/mol of formula units

a b c (Å): 5.608 5.608 11.640
angles (deg): 90.00 90.00 120.00
Fractional coordinates of all 18 atoms:
Ba  0.000  0.000  0.000
Ba  0.000  0.000  0.500
Pu  0.333  0.667  0.250
Pu  0.667  0.333  0.750
In  0.333  0.667  0.750
In  0.667  0.333  0.250
O  0.024  0.382  0.151
O  0.024  0.642  0.349
O  0.358  0.382  0.349
O  0.358  0.976  0.151
O  0.382  0.024  0.651
O  0.382  0.358  0.849
O  0.618  0.642  0.151
O  0.618  0.976  0.349
O  0.642  0.024  0.849
O  0.642  0.618  0.651
O  0.976  0.358  0.651
O  0.976  0.618  0.849

=====

VASP calculation (PBE) on a geometry-optimized RbBaIn2O structure.

## Properties
V = 193 Å³ per cell
DFT total energy = -2.466 eV per atom
ρ = 4.03 Mg/m³
E_form (uncorrected) = 96 kJ/mol of formula units

a b c (Å): 6.346 6.346 4.799
angles (deg): 90.00 90.00 90.00
Fractional coordinates of all 5 atoms:
Rb  0.000  0.000  0.000
Ba  0.500  0.500  0.500
In  0.000  0.500  0.000
In  0.500  0.000  0.000
O  0.000  0.000  0.500